Entry 1:
LaPmNiCl | PBE | optimized geometry

a = 4.0068 Å, b = 4.0096 Å, c = 7.9821 Å
α = 90.00°, β = 104.56°, γ = 120.02°
Last column: nearest neighbours and their distance in Å.
Fractional coordinates of all 4 atoms:
La1 0.5015 0.1488 0.6649  3 Ni 2.80
Pm1 0.1074 0.9515 0.0749  3 Ni 2.78-2.79
Ni1 0.3057 0.5508 0.8719  3 Pm 2.78-2.79, 3 La 2.80
Cl1 0.9633 0.3796 0.3580  3 Pm 3.17, 3 La 3.29

Its formation energy (no corrections) is -0.922 eV/atom. The electronic total energy is -21.00 eV per cell. For the magnetic moment, the calculation gives 0.0000 μB/atom.


Entry 2:
La4NiPtCl2 | PBE | optimized geometry

a = 4.3031 Å, b = 7.1270 Å, c = 7.8576 Å
α = 106.47°, β = 90.00°, γ = 90.00°
Last column: nearest neighbours and their distance in Å.
Fractional coordinates of all 8 atoms:
La1 0.5000 0.2358 0.2080  1 Pt 2.82, 2 Ni 2.93
La2 0.5000 0.7642 0.7920  1 Pt 2.82, 2 Ni 2.93
La3 0.0000 0.2496 0.7947  1 Ni 2.72, 2 Pt 2.96
La4 0.0000 0.7504 0.2053  1 Ni 2.72, 2 Pt 2.96
Ni1 0.0000 0.0000 0.0000  6 La 2.72-2.93
Pt1 0.5000 0.5000 0.0000  6 La 2.82-2.96
Cl1 0.5000 0.0000 0.5000  6 La 3.21-3.29
Cl2 0.0000 0.5000 0.5000  6 La 3.30-3.32

Its formation energy (no corrections) is -1.204 eV/atom. The electronic total energy is -44.86 eV per cell. For the magnetic moment, the calculation gives 0.0000 μB/atom.


Entry 3:
La8Ni3RhCl4 | PBE | optimized geometry

a = 8.2646 Å, b = 8.9775 Å, c = 8.2798 Å
α = 117.50°, β = 119.94°, γ = 90.00°
Last column: nearest neighbours and their distance in Å.
Fractional coordinates of all 16 atoms:
La1 0.2362 0.7045 0.9694  2 Ni 2.84-2.85, 1 Rh 2.86
La2 0.2360 0.7043 0.4720  2 Ni 2.84, 1 Rh 2.87
La3 0.2659 0.2989 0.5319  3 Ni 2.83-2.84
La4 0.7332 0.7045 0.9694  2 Ni 2.84-2.85, 1 Rh 2.86
La5 0.2668 0.2955 0.0306  2 Ni 2.84-2.85, 1 Rh 2.86
La6 0.7341 0.7011 0.4681  3 Ni 2.83-2.84
La7 0.7640 0.2957 0.5280  2 Ni 2.84, 1 Rh 2.87
La8 0.7638 0.2955 0.0306  2 Ni 2.84-2.85, 1 Rh 2.86
Ni1 0.5000 0.5000 0.0000  6 La 2.84
Ni2 0.5000 0.5000 0.5000  6 La 2.83-2.85
Ni3 0.0000 0.5000 0.5000  6 La 2.83-2.85
Rh1 0.0000 0.5000 0.0000  6 La 2.86-2.87
Cl1 0.5000 0.0000 0.0000  6 La 3.27
Cl2 0.5000 0.0000 0.5000  6 La 3.28-3.30
Cl3 0.0000 0.0000 0.0000  6 La 3.28-3.29
Cl4 0.0000 0.0000 0.5000  6 La 3.28-3.30

Its formation energy (no corrections) is -1.053 eV/atom. The electronic total energy is -88.34 eV per cell. For the magnetic moment, the calculation gives 0.0001 μB/atom.


Entry 4:
La4NiRhCl2 | PBE | optimized geometry

a = 4.1292 Å, b = 7.2104 Å, c = 8.0178 Å
α = 107.70°, β = 90.00°, γ = 90.00°
Last column: nearest neighbours and their distance in Å.
Fractional coordinates of all 8 atoms:
La1 0.5000 0.2368 0.2051  2 Rh 2.86, 1 Ni 2.86
La2 0.5000 0.7632 0.7949  2 Rh 2.86, 1 Ni 2.86
La3 0.0000 0.2684 0.7985  2 Ni 2.83, 1 Rh 2.87
La4 0.0000 0.7316 0.2015  2 Ni 2.83, 1 Rh 2.87
Ni1 0.5000 0.5000 0.0000  6 La 2.83-2.86
Rh1 0.0000 0.0000 0.0000  6 La 2.86-2.87
Cl1 0.5000 0.0000 0.5000  6 La 3.30-3.31
Cl2 0.0000 0.5000 0.5000  6 La 3.28-3.31

Its formation energy (no corrections) is -1.133 eV/atom. The electronic total energy is -45.60 eV per cell. For the magnetic moment, the calculation gives 0.0001 μB/atom.


Entry 5:
La6Ni2RuCl3 | PBE | optimized geometry

a = 4.1154 Å, b = 8.9920 Å, c = 9.9216 Å
α = 109.94°, β = 101.97°, γ = 90.00°
Last column: nearest neighbours and their distance in Å.
Fractional coordinates of all 12 atoms:
La1 0.3458 0.8910 0.6917  1 Ru 2.81, 2 Ni 2.86
La2 0.6755 0.5576 0.3509  3 Ni 2.82-2.84
La3 0.6542 0.1090 0.3083  1 Ru 2.81, 2 Ni 2.86
La4 0.0082 0.2218 0.0164  2 Ru 2.83, 1 Ni 2.92
La5 0.9918 0.7782 0.9836  2 Ru 2.83, 1 Ni 2.92
La6 0.3245 0.4424 0.6491  3 Ni 2.82-2.84
Ni1 0.8315 0.6609 0.6631  6 La 2.82-2.92
Ni2 0.1685 0.3391 0.3369  6 La 2.82-2.92
Ru1 0.5000 0.0000 0.0000  6 La 2.81-2.83
Cl1 0.5000 0.5000 0.0000  6 La 3.26-3.29
Cl2 0.8332 0.1688 0.6663  6 La 3.26-3.33
Cl3 0.1668 0.8312 0.3337  6 La 3.26-3.33

Its formation energy (no corrections) is -1.017 eV/atom. The electronic total energy is -68.15 eV per cell. For the magnetic moment, the calculation gives 0.0000 μB/atom.


Entry 6:
LaNiS2Cl | PBE | optimized geometry

a = 4.6375 Å, b = 4.6375 Å, c = 4.4812 Å
α = 90.00°, β = 90.00°, γ = 90.00°
Last column: nearest neighbours and their distance in Å.
Fractional coordinates of all 5 atoms:
Ni1 0.0000 0.0000 0.0000  2 Cl 2.24, 4 S 2.32
S1 0.0000 0.5000 0.0000  2 Ni 2.32
S2 0.5000 0.0000 0.0000  2 Ni 2.32
Cl1 0.0000 0.0000 0.5000  2 Ni 2.24
La1 0.5000 0.5000 0.5000  8 S 3.22, 4 Cl 3.28

Its formation energy (no corrections) is -1.178 eV/atom. The electronic total energy is -26.70 eV per cell. For the magnetic moment, the calculation gives 0.0000 μB/atom.


Entry 7:
La6Ni2SCl3 | PBE | optimized geometry

a = 4.0020 Å, b = 8.7396 Å, c = 9.7125 Å
α = 105.17°, β = 101.89°, γ = 90.00°
Last column: nearest neighbours and their distance in Å.
Fractional coordinates of all 12 atoms:
La1 0.3403 0.8926 0.6805  2 Ni 2.78, 1 S 2.93
La2 0.6711 0.5514 0.3422  3 Ni 2.76-3.07
La3 0.6597 0.1074 0.3195  2 Ni 2.78, 1 S 2.93
La4 0.0006 0.2322 0.0011  2 S 2.85, 1 Ni 2.95, 3 Cl 3.08-3.14
La5 0.9994 0.7678 0.9989  2 S 2.85, 1 Ni 2.95, 3 Cl 3.08-3.14
La6 0.3289 0.4486 0.6578  3 Ni 2.76-3.07
Ni1 0.8383 0.6711 0.6766  6 La 2.76-3.07
Ni2 0.1617 0.3289 0.3234  6 La 2.76-3.07
S1 0.5000 0.0000 0.0000  6 La 2.85-2.93
Cl1 0.5000 0.5000 0.0000  6 La 3.08-3.16
Cl2 0.8296 0.1631 0.6592  6 La 3.13-3.20
Cl3 0.1704 0.8369 0.3408  6 La 3.13-3.20

Its formation energy (no corrections) is -1.272 eV/atom. The electronic total energy is -66.05 eV per cell. For the magnetic moment, the calculation gives 0.0000 μB/atom.


Entry 8:
La4NiSeCl2 | PBE | optimized geometry

a = 4.0953 Å, b = 7.3156 Å, c = 7.6359 Å
α = 71.15°, β = 90.00°, γ = 90.00°
Last column: nearest neighbours and their distance in Å.
Fractional coordinates of all 8 atoms:
La1 0.0000 0.7457 0.7417  1 Ni 2.96, 3 Cl 2.97-3.12, 2 Se 3.00
La2 0.0000 0.2543 0.2583  1 Ni 2.96, 3 Cl 2.97-3.12, 2 Se 3.00
La3 0.5000 0.7224 0.2785  2 Ni 2.81, 1 Cl 3.03, 1 Se 3.07
La4 0.5000 0.2776 0.7215  2 Ni 2.81, 1 Cl 3.03, 1 Se 3.07
Ni1 0.0000 0.5000 0.5000  6 La 2.81-2.96
Se1 0.5000 0.5000 0.0000  6 La 3.00-3.07
Cl1 0.0000 0.0000 0.0000  6 La 3.12-3.17
Cl2 0.5000 0.0000 0.5000  6 La 2.97-3.03

Its formation energy (no corrections) is -1.377 eV/atom. The electronic total energy is -43.68 eV per cell. For the magnetic moment, the calculation gives 0.0000 μB/atom.


Entry 9:
La4NiSe2Cl | PBE | optimized geometry

a = 4.1310 Å, b = 7.5282 Å, c = 7.4281 Å
α = 70.62°, β = 90.00°, γ = 90.00°
Last column: nearest neighbours and their distance in Å.
Fractional coordinates of all 8 atoms:
La1 0.0000 0.7500 0.7472  3 Se 2.98-3.07, 2 Cl 3.00, 1 Ni 3.03
La2 0.0000 0.2500 0.2528  3 Se 2.98-3.07, 2 Cl 3.00, 1 Ni 3.03
La3 0.5000 0.7305 0.2716  2 Ni 2.86, 3 Se 3.05-3.12, 1 Cl 3.07
La4 0.5000 0.2695 0.7284  2 Ni 2.86, 3 Se 3.05-3.12, 1 Cl 3.07
Ni1 0.0000 0.5000 0.5000  6 La 2.86-3.03
Se1 0.0000 0.0000 0.0000  6 La 3.07-3.12
Se2 0.5000 0.0000 0.5000  6 La 2.98-3.05
Cl1 0.5000 0.5000 0.0000  6 La 3.00-3.07

Its formation energy (no corrections) is -1.462 eV/atom. The electronic total energy is -46.00 eV per cell. For the magnetic moment, the calculation gives 0.0000 μB/atom.


Entry 10:
La6Ni2SeCl3 | PBE | optimized geometry

a = 4.0254 Å, b = 8.8146 Å, c = 9.6446 Å
α = 102.43°, β = 102.05°, γ = 90.00°
Last column: nearest neighbours and their distance in Å.
Fractional coordinates of all 12 atoms:
La1 0.3345 0.8816 0.6690  2 Ni 2.76, 1 Se 3.07, 1 Cl 3.09
La2 0.6696 0.5537 0.3393  3 Ni 2.79-3.11
La3 0.6655 0.1184 0.3310  2 Ni 2.76, 1 Se 3.07, 1 Cl 3.09
La4 0.0026 0.2510 0.0051  1 Ni 2.94, 2 Se 2.98, 3 Cl 2.99-3.13
La5 0.9974 0.7490 0.9949  1 Ni 2.94, 2 Se 2.98, 3 Cl 2.99-3.13
La6 0.3304 0.4463 0.6607  3 Ni 2.79-3.11
Ni1 0.8376 0.6681 0.6753  5 La 2.76-2.94
Ni2 0.1624 0.3319 0.3247  5 La 2.76-2.94
Se1 0.5000 0.0000 0.0000  6 La 2.98-3.07
Cl1 0.5000 0.5000 0.0000  6 La 2.99-3.13
Cl2 0.8327 0.1603 0.6654  6 La 3.09-3.23
Cl3 0.1673 0.8397 0.3346  6 La 3.09-3.23

Its formation energy (no corrections) is -1.234 eV/atom. The electronic total energy is -64.96 eV per cell. For the magnetic moment, the calculation gives 0.0000 μB/atom.


Entry 11:
La4SiNiCl2 | PBE | optimized geometry

a = 4.1600 Å, b = 7.5836 Å, c = 7.4207 Å
α = 108.61°, β = 90.00°, γ = 90.00°
Last column: nearest neighbours and their distance in Å.
Fractional coordinates of all 8 atoms:
La1 0.5000 0.2442 0.2371  2 Si 2.96, 1 Ni 3.01, 3 Cl 3.08-3.09
La2 0.5000 0.7558 0.7629  2 Si 2.96, 1 Ni 3.01, 3 Cl 3.08-3.09
La3 0.0000 0.2737 0.7840  2 Ni 2.84, 1 Si 3.00, 1 Cl 3.11
La4 0.0000 0.7263 0.2160  2 Ni 2.84, 1 Si 3.00, 1 Cl 3.11
Si1 0.0000 0.0000 0.0000  6 La 2.96-3.00
Ni1 0.5000 0.5000 0.0000  6 La 2.84-3.01
Cl1 0.5000 0.0000 0.5000  6 La 3.09-3.21
Cl2 0.0000 0.5000 0.5000  6 La 3.08-3.11

Its formation energy (no corrections) is -1.078 eV/atom. The electronic total energy is -43.23 eV per cell. For the magnetic moment, the calculation gives 0.0000 μB/atom.


Entry 12:
La2SiNiCl | PBE | optimized geometry

a = 5.4319 Å, b = 4.5139 Å, c = 5.4319 Å
α = 90.00°, β = 90.00°, γ = 90.00°
Last column: nearest neighbours and their distance in Å.
Fractional coordinates of all 5 atoms:
Ni1 0.5000 0.5000 0.5000  8 La 3.53, 4 Si 3.84
Si1 0.0000 0.5000 0.0000  2 Cl 2.26
Cl1 0.0000 0.0000 0.0000  2 Si 2.26
La1 0.0000 0.0000 0.5000  2 Cl 2.72
La2 0.5000 0.0000 0.0000  2 Cl 2.72

Its formation energy (no corrections) is 0.040 eV/atom. The electronic total energy is -22.71 eV per cell. For the magnetic moment, the calculation gives 0.0640 μB/atom.


Question: Look up the magnetic moment of the twelfth one.
Answer: 0.0640 μB/atom


Question: The highest electronic total energy belongs to which entry?
Answer: LaPmNiCl


Question: What is the electronic total energy in the fifth record?
Answer: -68.15 eV per cell